(1)
An optimized crystal structure of Li7Mn4CoO12. Source: the Alexandria database, functional PBE+U.

Cell lengths 5.053, 5.115, 8.855 Å; angles 105.63, 90.92, 100.20 degrees
Space group P1 (No. 1)
Symmetry-distinct sites (fractional):
Li 0.000 0.000 0.000 x1
Li 0.008 0.014 0.344 x1
Li 0.024 0.001 0.673 x1
Li 0.253 0.500 0.591 x1
Li 0.486 0.020 0.178 x1
Li 0.496 0.012 0.513 x1
Li 0.509 0.992 0.823 x1
Mn 0.246 0.518 0.264 x1
Mn 0.248 0.507 0.919 x1
Mn 0.750 0.498 0.751 x1
Mn 0.750 0.510 0.428 x1
Co 0.750 0.513 0.091 x1
O 0.111 0.732 0.802 x1
O 0.111 0.733 0.453 x1
O 0.132 0.750 0.146 x1
O 0.353 0.295 0.063 x1
O 0.391 0.290 0.377 x1
O 0.405 0.260 0.716 x1
O 0.608 0.737 0.309 x1
O 0.620 0.731 0.942 x1
O 0.651 0.727 0.624 x1
O 0.859 0.285 0.552 x1
O 0.883 0.279 0.876 x1
O 0.884 0.288 0.236 x1

Results
crystal system	triclinic
VASP energy	-149.6	eV for the cell shown

***

(2)
An optimized crystal structure of Li7Mn4CoO12. Source: the Alexandria database, functional PBE+U.

Cell lengths 5.309, 5.708, 7.690 Å; angles 78.74, 74.23, 89.51 degrees
Space group P-1 (No. 2)
Symmetry-distinct sites (fractional):
Li 0.000 0.000 0.000 x1
Li 0.157 0.917 0.319 x2
Li 0.169 0.416 0.325 x2
Li 0.449 0.241 0.018 x2
Mn 0.326 0.835 0.676 x2
Mn 0.337 0.333 0.671 x2
Co 0.000 0.500 0.000 x1
O 0.014 0.688 0.183 x2
O 0.069 0.226 0.158 x2
O 0.248 0.126 0.524 x2
O 0.290 0.625 0.500 x2
O 0.427 0.544 0.817 x2
O 0.431 0.051 0.816 x2

Results
crystal system	triclinic
VASP energy	-149.0	eV for the cell shown

***

(3)
An optimized crystal structure of Li7Mn4CoO12. Source: the Alexandria database, functional PBE+U.

Cell lengths 5.140, 8.633, 5.159 Å; angles 90.00, 110.95, 90.00 degrees
Space group P2 (No. 3)
Symmetry-distinct sites (fractional):
Li 0.000 0.000 0.000 x1
Li 0.000 0.159 0.500 x1
Li 0.000 0.323 0.000 x1
Li 0.000 0.665 0.000 x1
Li 0.500 0.162 0.000 x1
Li 0.500 0.493 0.000 x1
Li 0.500 0.830 0.000 x1
Mn 0.000 0.496 0.500 x1
Mn 0.500 0.327 0.500 x1
Mn 0.500 0.663 0.500 x1
Mn 0.500 0.999 0.500 x1
Co 0.000 0.832 0.500 x1
O 0.223 0.666 0.733 x2
O 0.252 0.833 0.285 x2
O 0.257 0.337 0.716 x2
O 0.260 0.986 0.720 x2
O 0.278 0.494 0.265 x2
O 0.280 0.162 0.268 x2

Results
crystal system	monoclinic
VASP energy	-149.1	eV for the cell shown

***

(4)
An optimized crystal structure of Li4MnCo2O7. Source: the Alexandria database, functional PBE+U.

Cell lengths 2.907, 5.054, 16.546 Å; angles 88.36, 86.60, 89.13 degrees
Space group P-1 (No. 2)
Symmetry-distinct sites (fractional):
Li 0.000 0.000 0.000 x1
Li 0.046 0.342 0.863 x2
Li 0.200 0.071 0.572 x2
Li 0.407 0.792 0.282 x2
Li 0.500 0.500 0.000 x1
Mn 0.315 0.433 0.424 x2
Co 0.094 0.706 0.720 x2
Co 0.461 0.145 0.138 x2
O 0.037 0.693 0.920 x2
O 0.059 0.992 0.793 x2
O 0.100 0.402 0.649 x2
O 0.278 0.736 0.499 x2
O 0.387 0.140 0.347 x2
O 0.426 0.434 0.215 x2
O 0.471 0.853 0.079 x2

Results
crystal system	triclinic
VASP energy	-162.8	eV for the cell shown

***

(5)
An optimized crystal structure of Li7Mn4CoO12. Source: the Alexandria database, functional PBE+U.

Cell lengths 5.167, 8.689, 9.774 Å; angles 90.00, 98.22, 90.00 degrees
Space group C2 (No. 5)
Symmetry-distinct sites (fractional):
Li 0.000 0.000 0.000 x2
Li 0.235 0.164 0.246 x4
Li 0.243 0.836 0.248 x4
Li 0.247 0.500 0.245 x4
Mn 0.000 0.333 0.000 x2
Mn 0.000 0.500 0.500 x2
Mn 0.000 0.668 0.000 x2
Mn 0.000 0.834 0.500 x2
Co 0.000 0.167 0.500 x2
O 0.103 0.998 0.380 x4
O 0.105 0.336 0.383 x4
O 0.108 0.500 0.888 x4
O 0.116 0.667 0.386 x4
O 0.151 0.179 0.890 x4
O 0.152 0.821 0.890 x4

Results
crystal system	monoclinic
VASP energy	-298.7	eV for the cell shown

***

(6)
An optimized crystal structure of Li7Mn4CoO12. Source: the Alexandria database, functional PBE+U.

Cell lengths 9.768, 2.876, 15.539 Å; angles 90.00, 98.21, 90.00 degrees
Space group Cm (No. 8)
Symmetry-distinct sites (fractional):
Li 0.000 0.000 0.000 x2
Li 0.004 0.500 0.846 x2
Li 0.232 0.000 0.241 x2
Li 0.463 0.000 0.481 x2
Li 0.471 0.500 0.313 x2
Li 0.480 0.500 0.659 x2
Li 0.491 0.000 0.171 x2
Mn 0.210 0.500 0.397 x2
Mn 0.220 0.000 0.574 x2
Mn 0.247 0.500 0.085 x2
Mn 0.251 0.500 0.756 x2
Co 0.255 0.000 0.921 x2
O 0.102 0.000 0.442 x2
O 0.106 0.500 0.291 x2
O 0.111 0.500 0.618 x2
O 0.131 0.000 0.114 x2
O 0.144 0.000 0.803 x2
O 0.144 0.500 0.960 x2
O 0.327 0.500 0.529 x2
O 0.328 0.000 0.370 x2
O 0.355 0.000 0.037 x2
O 0.356 0.000 0.709 x2
O 0.356 0.500 0.190 x2
O 0.369 0.500 0.885 x2

Results
crystal system	monoclinic
VASP energy	-298.0	eV for the cell shown

***

(7)
An optimized crystal structure of Li4MnCo2O7. Source: the Alexandria database, functional PBE+U.

Cell lengths 2.922, 7.704, 11.194 Å; angles 80.74, 83.52, 82.67 degrees
Space group P1 (No. 1)
Symmetry-distinct sites (fractional):
Li 0.000 0.000 0.000 x1
Li 0.069 0.445 0.298 x1
Li 0.296 0.858 0.563 x1
Li 0.441 0.279 0.855 x1
Li 0.560 0.706 0.156 x1
Li 0.769 0.123 0.429 x1
Li 0.848 0.573 0.717 x1
Li 0.925 0.779 0.362 x1
Mn 0.381 0.059 0.221 x1
Mn 0.786 0.361 0.072 x1
Co 0.046 0.216 0.644 x1
Co 0.212 0.646 0.929 x1
Co 0.469 0.506 0.502 x1
Co 0.655 0.925 0.784 x1
O 0.019 0.102 0.812 x1
O 0.038 0.343 0.481 x1
O 0.146 0.539 0.102 x1
O 0.278 0.754 0.761 x1
O 0.340 0.972 0.384 x1
O 0.417 0.388 0.670 x1
O 0.427 0.179 0.045 x1
O 0.501 0.591 0.341 x1
O 0.646 0.807 0.951 x1
O 0.686 0.041 0.616 x1
O 0.779 0.483 0.903 x1
O 0.812 0.228 0.243 x1
O 0.890 0.653 0.536 x1
O 0.952 0.908 0.184 x1

Results
crystal system	triclinic
VASP energy	-162.9	eV for the cell shown

***

(8)
An optimized crystal structure of Li4MnCo2O7. Source: the Alexandria database, functional PBE+U.

Cell lengths 19.405, 2.881, 9.655 Å; angles 90.00, 114.40, 90.00 degrees
Space group C2/m (No. 12)
Symmetry-distinct sites (fractional):
Li 0.000 0.000 0.000 x2
Li 0.000 0.500 0.500 x2
Li 0.068 0.000 0.793 x4
Li 0.128 0.500 0.055 x4
Li 0.211 0.000 0.342 x4
Mn 0.142 0.000 0.566 x4
Co 0.069 0.500 0.277 x4
Co 0.218 0.500 0.866 x4
O 0.026 0.500 0.875 x4
O 0.044 0.000 0.390 x4
O 0.103 0.000 0.191 x4
O 0.109 0.500 0.660 x4
O 0.170 0.500 0.463 x4
O 0.179 0.000 0.965 x4
O 0.238 0.000 0.735 x4

Results
crystal system	monoclinic
VASP energy	-324.9	eV for the cell shown

***

(9)
An optimized crystal structure of Li6Mn3CoO10. Source: the Alexandria database, functional PBE+U.

Cell lengths 15.166, 2.882, 8.392 Å; angles 90.00, 105.68, 90.00 degrees
Space group Cm (No. 8)
Symmetry-distinct sites (fractional):
Li 0.000 0.000 0.000 x2
Li 0.001 0.000 0.502 x2
Li 0.104 0.500 0.270 x2
Li 0.195 0.000 0.098 x2
Li 0.307 0.500 0.916 x2
Li 0.405 0.000 0.720 x2
Mn 0.101 0.500 0.815 x2
Mn 0.204 0.000 0.594 x2
Mn 0.406 0.000 0.196 x2
Co 0.304 0.500 0.393 x2
O 0.012 0.000 0.754 x2
O 0.102 0.500 0.032 x2
O 0.113 0.500 0.571 x2
O 0.193 0.000 0.851 x2
O 0.214 0.000 0.345 x2
O 0.297 0.500 0.626 x2
O 0.314 0.500 0.170 x2
O 0.394 0.000 0.432 x2
O 0.399 0.000 0.973 x2
O 0.494 0.500 0.250 x2

Results
crystal system	monoclinic
VASP energy	-245.0	eV for the cell shown

***

(10)
An optimized crystal structure of Li4MnCo2O7. Source: the Alexandria database, functional PBE+U.

Cell lengths 5.063, 5.123, 10.530 Å; angles 85.13, 77.16, 70.95 degrees
Space group P1 (No. 1)
Symmetry-distinct sites (fractional):
Li 0.000 0.000 0.000 x1
Li 0.061 0.500 0.871 x1
Li 0.210 0.507 0.573 x1
Li 0.371 0.500 0.278 x1
Li 0.513 0.502 0.990 x1
Li 0.645 0.503 0.715 x1
Li 0.790 0.505 0.424 x1
Li 0.933 0.507 0.134 x1
Mn 0.718 0.006 0.569 x1
Mn 0.863 0.003 0.278 x1
Co 0.151 0.999 0.723 x1
Co 0.288 0.006 0.425 x1
Co 0.431 0.006 0.130 x1
Co 0.589 0.005 0.861 x1
O 0.016 0.781 0.431 x1
O 0.107 0.225 0.291 x1
O 0.161 0.778 0.160 x1
O 0.275 0.242 0.003 x1
O 0.326 0.774 0.845 x1
O 0.417 0.230 0.698 x1
O 0.471 0.785 0.561 x1
O 0.563 0.227 0.424 x1
O 0.614 0.786 0.282 x1
O 0.692 0.231 0.155 x1
O 0.735 0.757 0.998 x1
O 0.821 0.237 0.848 x1
O 0.883 0.778 0.703 x1
O 0.966 0.222 0.570 x1

Results
crystal system	triclinic
VASP energy	-162.1	eV for the cell shown

***

(11)
An optimized crystal structure of Li7Mn4CoO12. Source: the Alexandria database, functional PBE+U.

Cell lengths 5.106, 5.819, 7.866 Å; angles 100.62, 95.15, 106.77 degrees
Space group P1 (No. 1)
Symmetry-distinct sites (fractional):
Li 0.000 0.000 0.000 x1
Li 0.001 0.166 0.681 x1
Li 0.005 0.501 0.999 x1
Li 0.011 0.666 0.673 x1
Li 0.497 0.750 0.514 x1
Li 0.970 0.829 0.348 x1
Li 0.997 0.340 0.356 x1
Mn 0.488 0.914 0.175 x1
Mn 0.491 0.418 0.175 x1
Mn 0.492 0.252 0.512 x1
Mn 0.506 0.083 0.839 x1
Co 0.498 0.584 0.830 x1
O 0.257 0.445 0.588 x1
O 0.259 0.124 0.241 x1
O 0.262 0.624 0.238 x1
O 0.274 0.815 0.934 x1
O 0.277 0.981 0.615 x1
O 0.286 0.295 0.938 x1
O 0.703 0.038 0.402 x1
O 0.709 0.198 0.088 x1
O 0.711 0.518 0.405 x1
O 0.715 0.706 0.105 x1
O 0.737 0.891 0.770 x1
O 0.746 0.358 0.770 x1

Results
crystal system	triclinic
VASP energy	-149.1	eV for the cell shown

***

(12)
An optimized crystal structure of Li4MnCo2O7. Source: the Alexandria database, functional PBE+U.

Cell lengths 4.963, 6.554, 7.752 Å; angles 85.98, 77.54, 82.97 degrees
Space group P-1 (No. 2)
Symmetry-distinct sites (fractional):
Li 0.000 0.000 0.000 x1
Li 0.072 0.858 0.347 x2
Li 0.216 0.581 0.071 x2
Li 0.354 0.282 0.789 x2
Li 0.500 0.000 0.500 x1
Mn 0.143 0.713 0.713 x2
Co 0.285 0.430 0.429 x2
Co 0.431 0.137 0.136 x2
O 0.037 0.446 0.661 x2
O 0.103 0.287 0.061 x2
O 0.166 0.169 0.390 x2
O 0.260 0.972 0.745 x2
O 0.341 0.860 0.106 x2
O 0.395 0.691 0.478 x2
O 0.460 0.579 0.800 x2

Results
crystal system	triclinic
VASP energy	-164.1	eV for the cell shown